(1)
Density functional theory data (PBE-GGA) for an optimized crystal structure of Mg2Ta.

Results
ΔE to the lowest computed polymorph	0.79	eV per formula unit
total magnetic moment	0.1	μB per cell

abc: 5.566 5.566 8.480
angles: 90.00 90.00 120.00
Positions (direct):
Mg1 0.000 0.000 0.000
Mg2 0.176 0.351 0.250
Mg3 0.176 0.824 0.250
Mg4 0.649 0.824 0.250
Mg5 0.000 0.000 0.500
Mg6 0.351 0.176 0.750
Mg7 0.824 0.176 0.750
Mg8 0.824 0.649 0.750
Ta1 0.667 0.333 0.078
Ta2 0.667 0.333 0.422
Ta3 0.333 0.667 0.578
Ta4 0.333 0.667 0.922

(2)
Density functional theory data (PBE-GGA) for an optimized crystal structure of MgTa.

Results
final energy	-6.37	eV/atom
total magnetic moment	0.0	μB per cell

abc: 5.019 9.198 4.949
angles: 90.00 90.00 90.00
Positions (direct):
Mg1 0.991 0.335 0.000
Mg2 0.489 0.502 0.000
Mg3 0.989 0.665 0.000
Mg4 0.491 0.831 0.000
Mg5 0.338 0.335 0.500
Mg6 0.838 0.831 0.500
Ta1 0.009 0.009 0.000
Ta2 0.509 0.157 0.000
Ta3 0.346 0.006 0.500
Ta4 0.846 0.160 0.500
Ta5 0.825 0.503 0.500
Ta6 0.325 0.664 0.500

(3)
Density functional theory data (PBE-GGA) for an optimized crystal structure of Mg2Ta3.

Results
final energy	-6.84	eV/atom
total magnetic moment	0.0	μB per cell

abc: 6.873 6.873 6.383
angles: 122.58 57.42 120.00
Positions (direct):
Mg1 0.587 0.413 0.239
Mg2 0.913 0.087 0.261
Mg3 0.087 0.913 0.739
Mg4 0.413 0.587 0.761
Ta1 0.471 0.750 0.250
Ta2 0.029 0.529 0.250
Ta3 0.250 0.971 0.250
Ta4 0.971 0.471 0.750
Ta5 0.529 0.250 0.750
Ta6 0.750 0.029 0.750

(4)
Density functional theory data (PBE-GGA) for an optimized crystal structure of MgTa.

Results
final energy	-6.45	eV/atom
total magnetic moment	0.0	μB per cell

abc: 4.969 6.695 4.761
angles: 90.00 90.00 90.00
Positions (direct):
Mg1 0.474 0.255 0.000
Mg2 0.974 0.995 0.000
Mg3 0.860 0.255 0.500
Mg4 0.360 0.995 0.500
Ta1 0.985 0.524 0.000
Ta2 0.485 0.726 0.000
Ta3 0.348 0.524 0.500
Ta4 0.848 0.726 0.500

(5)
Density functional theory data (PBE-GGA) for an optimized crystal structure of Mg2Ta.

Results
ΔE to the lowest computed polymorph	0.39	eV per formula unit
total magnetic moment	0.0	μB per cell

abc: 5.524 8.933 4.815
angles: 90.00 90.00 90.00
Positions (direct):
Mg1 0.515 0.160 0.000
Mg2 0.998 0.333 0.000
Mg3 0.515 0.506 0.000
Mg4 0.496 0.833 0.000
Mg5 0.318 0.006 0.500
Mg6 0.337 0.333 0.500
Mg7 0.318 0.660 0.500
Mg8 0.835 0.833 0.500
Ta1 0.980 0.667 0.000
Ta2 0.980 0.000 0.000
Ta3 0.854 0.167 0.500
Ta4 0.854 0.500 0.500

(6)
Density functional theory data (PBE-GGA) for an optimized crystal structure of Mg2Ta.

Results
ΔE to the lowest computed polymorph	1.93	eV per formula unit
total magnetic moment	0.0	μB per cell

abc: 7.831 7.831 2.666
angles: 90.00 90.00 90.00
Positions (direct):
Mg1 0.260 0.260 0.000
Mg2 0.740 0.740 0.000
Mg3 0.760 0.240 0.500
Mg4 0.240 0.760 0.500
Ta1 0.000 0.000 0.000
Ta2 0.500 0.500 0.500